Below is a relaxed structure of GeTe2P2, with properties calculated at the GGA-PBE level.

abc: 7.8035 7.8035 3.8830
angles: 90.00 90.00 90.00
Positions (direct):
Ge 0.0000 0.0000 0.0000
Ge 0.5000 0.5000 0.0000
Te 0.1643 0.3357 0.5000
Te 0.3357 0.8357 0.5000
Te 0.6643 0.1643 0.5000
Te 0.8357 0.6643 0.5000
P 0.1831 0.6831 0.0000
P 0.3169 0.1831 0.0000
P 0.6831 0.8169 0.0000
P 0.8169 0.3169 0.0000

The energy relative to the elements, uncorrected is 370.1 meV/atom. Its energy above the most stable polymorph in this dataset is 0.0000 eV/atom. Its symmetry is P4/mbm.

---

Below is a relaxed structure of Zn2PtW, with properties calculated at the GGA-PBE level.

abc: 4.7978 4.7978 4.7978
angles: 131.93 131.93 70.34
Positions (direct):
Zn 0.0000 0.0000 0.0000
Zn 0.7500 0.2500 0.5000
Pt 0.2500 0.7500 0.5000
W 0.5000 0.5000 0.0000

Its energy above the most stable polymorph in this dataset is 0.2070 eV/atom. Its symmetry is I-4m2.

---

Below is a relaxed structure of OsINO2, with properties calculated at the GGA-PBE level.

abc: 3.9788 3.9788 4.0235
angles: 90.00 90.00 90.00
Positions (direct):
Os 0.0000 0.0000 0.0000
I 0.5000 0.5000 0.5000
N 0.0000 0.0000 0.5000
O 0.0000 0.5000 0.0000
O 0.5000 0.0000 0.0000

The energy relative to the elements, uncorrected is 342.1 meV/atom. Its symmetry is P4/mmm.

---

Below is a relaxed structure of CsVH2Pt, with properties calculated at the GGA-PBE level.

abc: 3.9933 3.9933 6.7992
angles: 90.00 90.00 90.00
Positions (direct):
Cs 0.0000 0.0000 0.0000
V 0.5000 0.5000 0.5000
H 0.0000 0.5000 0.0000
H 0.5000 0.0000 0.0000
Pt 0.0000 0.0000 0.5000

The raw total energy is -15.81 eV for the cell shown. Its symmetry is P4/mmm.

---

Below is a relaxed structure of LiEr2HfP4, with properties calculated at the GGA-PBE level.

abc: 6.5761 3.8433 6.7806
angles: 90.00 109.62 90.00
Positions (direct):
Li 0.0000 0.0000 0.0000
Er 0.5000 0.0000 0.5000
Er 0.5000 0.5000 0.0000
Hf 0.0000 0.5000 0.5000
P 0.2342 0.0000 0.7406
P 0.2361 0.5000 0.2536
P 0.7639 0.5000 0.7464
P 0.7658 0.0000 0.2594

The raw total energy is -51.55 eV for the cell shown. Its symmetry is P2/m.

---

Below is a relaxed structure of Hg5Os3, with properties calculated at the GGA-PBE level.

abc: 8.1577 8.1577 5.3085
angles: 90.00 90.00 120.00
Positions (direct):
Hg 0.0000 0.2338 0.2500
Hg 0.0000 0.7662 0.7500
Hg 0.2338 0.0000 0.2500
Hg 0.2338 0.2338 0.7500
Hg 0.3333 0.6667 0.0000
Hg 0.3333 0.6667 0.5000
Hg 0.6667 0.3333 0.0000
Hg 0.6667 0.3333 0.5000
Hg 0.7662 0.0000 0.7500
Hg 0.7662 0.7662 0.2500
Os 0.0000 0.4093 0.7500
Os 0.0000 0.5907 0.2500
Os 0.4093 0.0000 0.7500
Os 0.4093 0.4093 0.2500
Os 0.5907 0.0000 0.2500
Os 0.5907 0.5907 0.7500

Its energy above the most stable polymorph in this dataset is 0.2099 eV/atom. Its symmetry is P6_3/mcm.

---

Below is a relaxed structure of Pm2Sm5Y5, with properties calculated at the GGA-PBE level.

abc: 8.9401 8.9401 10.2361
angles: 122.42 122.42 36.38
Positions (direct):
Pm 0.1582 0.1582 0.0503
Pm 0.8418 0.8418 0.9497
Sm 0.0000 0.0000 0.5000
Sm 0.0582 0.0582 0.2590
Sm 0.2380 0.2380 0.7758
Sm 0.7620 0.7620 0.2242
Sm 0.9418 0.9418 0.7410
Y 0.3232 0.3232 0.4938
Y 0.4065 0.4065 0.2272
Y 0.5000 0.5000 0.0000
Y 0.5935 0.5935 0.7728
Y 0.6768 0.6768 0.5062

Its energy above the most stable polymorph in this dataset is 0.0790 eV/atom. Its symmetry is C2/m.

---

Below is a relaxed structure of PmHo2, with properties calculated at the GGA-PBE level.

abc: 5.9958 5.9958 5.9958
angles: 146.83 121.44 68.98
Positions (direct):
Pm 0.0000 0.0000 0.0000
Ho 0.3128 0.8128 0.5000
Ho 0.6872 0.1872 0.5000

Its energy above the most stable polymorph in this dataset is 0.2060 eV/atom. Its symmetry is Immm.

---

Below is a relaxed structure of Ce4CO3, with properties calculated at the GGA-PBE level.

abc: 11.7629 11.7629 11.7629
angles: 17.47 17.47 17.47
Positions (direct):
Ce 0.1244 0.1244 0.1244
Ce 0.3743 0.3743 0.3743
Ce 0.6257 0.6257 0.6257
Ce 0.8756 0.8756 0.8756
C 0.5000 0.5000 0.5000
O 0.0000 0.0000 0.0000
O 0.2529 0.2529 0.2529
O 0.7471 0.7471 0.7471

The energy relative to the elements, uncorrected is -2228.8 meV/atom. Its symmetry is R-3m.

---

Below is a relaxed structure of La8Hg4Ir3Au, with properties calculated at the GGA-PBE level.

abc: 9.3097 9.3097 9.3097
angles: 54.27 54.27 54.27
Positions (direct):
La 0.2171 0.7441 0.7441
La 0.2341 0.2341 0.2341
La 0.2559 0.2559 0.7829
La 0.2559 0.7829 0.2559
La 0.7441 0.2171 0.7441
La 0.7441 0.7441 0.2171
La 0.7659 0.7659 0.7659
La 0.7829 0.2559 0.2559
Hg 0.0000 0.0000 0.0000
Hg 0.0000 0.5000 0.5000
Hg 0.5000 0.0000 0.5000
Hg 0.5000 0.5000 0.0000
Ir 0.0000 0.0000 0.5000
Ir 0.0000 0.5000 0.0000
Ir 0.5000 0.0000 0.0000
Au 0.5000 0.5000 0.5000

The raw total energy is -80.71 eV for the cell shown. Its symmetry is R-3m.

---

Below is a relaxed structure of La2In5Ni3, with properties calculated at the GGA-PBE level.

abc: 13.3513 13.3513 7.3632
angles: 90.00 90.00 160.65
Positions (direct):
La 0.0297 0.9703 0.5000
La 0.3263 0.6737 0.3996
La 0.6737 0.3263 0.8996
La 0.9703 0.0297 0.0000
In 0.0949 0.9051 0.1051
In 0.2058 0.7942 0.5942
In 0.2105 0.7895 0.1949
In 0.3717 0.6283 0.9405
In 0.4496 0.5504 0.3333
In 0.5504 0.4496 0.8333
In 0.6283 0.3717 0.4405
In 0.7895 0.2105 0.6949
In 0.7942 0.2058 0.0942
In 0.9051 0.0949 0.6051
Ni 0.1098 0.8902 0.7346
Ni 0.2692 0.7308 0.8923
Ni 0.4533 0.5467 0.7100
Ni 0.5467 0.4533 0.2100
Ni 0.7308 0.2692 0.3923
Ni 0.8902 0.1098 0.2346

The raw total energy is -89.44 eV for the cell shown. Its symmetry is Cmc2_1.

---

Below is a relaxed structure of TaCoAs, with properties calculated at the GGA-PBE level.

abc: 5.4379 5.3186 2.9967
angles: 76.03 71.65 32.33
Positions (direct):
Ta 0.0000 0.0000 0.0000
Co 0.3221 0.3221 0.6779
As 0.6887 0.6887 0.3113

The raw total energy is -23.83 eV for the cell shown. Its symmetry is Fmm2.

---

Below is a relaxed structure of CeSmTl, with properties calculated at the GGA-PBE level.

abc: 5.4008 5.4008 3.3038
angles: 90.00 90.00 120.00
Positions (direct):
Ce 0.0000 0.0000 0.0000
Sm 0.6667 0.3333 0.0031
Tl 0.3333 0.6667 0.5013

Its energy above the most stable polymorph in this dataset is 0.2174 eV/atom. Its symmetry is P3m1.

---

Below is a relaxed structure of Zn2RuBr, with properties calculated at the GGA-PBE level.

abc: 5.1386 5.1386 5.1386
angles: 135.04 135.04 65.47
Positions (direct):
Zn 0.0000 0.0000 0.0000
Zn 0.7500 0.2500 0.5000
Ru 0.5000 0.5000 0.0000
Br 0.2500 0.7500 0.5000

The energy relative to the elements, uncorrected is 499.2 meV/atom. Its energy above the most stable polymorph in this dataset is 0.3800 eV/atom. Its symmetry is I-4m2.

---

no.,N(E_F) (states/eV per atom)
1,0.2852
2,0.5980
3,0.5061
4,1.2010
5,0.4597
6,1.2050
7,1.5850
8,2.2003
9,1.1950
10,0.7058
11,0.7268
12,0.4292
13,2.2051
14,0.8649